BaZrI6 | Alexandria via LeMat-Bulk | PBE | optimized geometry; energy relative to the elements, uncorrected = -1185 meV/atom; DOS(E_F) = 0.00 states/eV per cell; VASP energy = -3.66 eV/atom
1.0
4.028 -6.799 0.000
4.028 6.799 0.000
-2.174 0.000 7.467
Ba Zr I
1 1 6
direct
0.000 0.000 0.000
0.500 0.500 0.500
0.152 0.459 0.273
0.253 0.253 0.704
0.459 0.152 0.273
0.541 0.848 0.727
0.747 0.747 0.296
0.848 0.541 0.727